1.
9
Lattice="-1.6351 -4.2534 -5.2979 6.4688 2.5887 0.5338 1.1249 -3.2829 2.2884" Properties=species:S:1:pos:R:3 comment="TmSiAg | Alexandria | PBE | optimized geometry" sg="No. 189" raw_formation_energy_mev_per_atom=-584 vol_a3_per_atom=19.5 magmom_total_mub_per_cell=0.00 pbc="T T T"
Si 3.7675 0.3080 -1.4101
Si 0.5625 -1.6414 1.1442
Si 1.0662 -1.9727 -3.3540
Tm -0.3881 -4.1142 -1.9358
Tm 4.3232 -0.1364 1.4545
Tm 2.5860 -2.3383 -0.8502
Ag 3.6199 -1.2466 -3.5677
Ag 1.6244 0.6501 0.1340
Ag -0.4106 -1.0681 -1.3304



2.
4
Lattice="4.5635 0.0000 0.0000 2.2817 3.9521 0.0000 2.2817 1.3174 9.4283" Properties=species:S:1:pos:R:3 comment="PmGaTe2 | Alexandria | PBE | optimized geometry" sg="No. 166" raw_formation_energy_mev_per_atom=-701 vol_a3_per_atom=42.5 magmom_total_mub_per_cell=0.00 pbc="T T T"
Te 6.8452 3.9521 2.9671
Te 2.2817 1.3174 6.4612
Pm 4.5635 2.6347 4.7141
Ga 0.0000 0.0000 0.0000



3.
5
Lattice="5.1152 0.0000 0.0000 0.0000 5.1152 0.0000 0.0000 0.0000 5.2058" Properties=species:S:1:pos:R:3 comment="CaBiPS2 | Alexandria | PBE | optimized geometry" sg="No. 123" raw_formation_energy_mev_per_atom=330 vol_a3_per_atom=27.2 magmom_total_mub_per_cell=0.00 de_polymorph_mev_per_atom=361 pbc="T T T"
Ca 0.0000 0.0000 0.0000
S 2.5576 0.0000 0.0000
S 0.0000 2.5576 0.0000
Bi 2.5576 2.5576 2.6029
P 0.0000 0.0000 2.6029



4.
5
Lattice="5.4464 0.0000 0.0000 0.0000 5.4464 0.0000 0.0000 0.0000 4.8544" Properties=species:S:1:pos:R:3 comment="NaMoAsBr2 | Alexandria | PBE | optimized geometry" sg="No. 123" raw_formation_energy_mev_per_atom=-203 vol_a3_per_atom=28.8 magmom_total_mub_per_cell=1.81 de_polymorph_mev_per_atom=0 pbc="T T T"
As 0.0000 0.0000 2.4272
Br 0.0000 2.7232 0.0000
Br 2.7232 0.0000 0.0000
Na 2.7232 2.7232 2.4272
Mo 0.0000 0.0000 0.0000



5.
5
Lattice="-0.0592 2.2737 -3.6524 -0.3753 -3.6416 -2.2608 -4.8163 1.0216 3.2484" Properties=species:S:1:pos:R:3 comment="PmTcGe2Ir | Alexandria | PBE | optimized geometry" sg="No. 119" delta_e_f_ev_per_atom=-0.63 vol_a3_per_atom=18.7 magmom_total_mub_per_cell=0.00 pbc="T T T"
Ge -3.7329 0.2504 0.2164
Ge -1.5179 -0.5967 -2.8812
Tc -2.5464 1.3056 -1.6803
Ir -2.7044 -1.6520 -0.9845
Pm 0.0000 0.0000 0.0000



6.
4
Lattice="4.8374 0.0000 0.0000 2.4187 4.1893 0.0000 2.4187 1.3964 6.0990" Properties=species:S:1:pos:R:3 comment="PuCdPb2 | Alexandria | PBE | optimized geometry" sg="No. 160" delta_e_f_ev_per_atom=0.15 vol_a3_per_atom=30.9 magmom_total_mub_per_cell=6.13 pbc="T T T"
Pb 2.4187 1.3964 4.7958
Pb 2.4187 1.3964 1.2797
Pu 4.8374 2.7928 3.2580
Cd 7.2560 4.1893 5.9139



Number 1: total energy -4.833 eV/atom. Number 2: total energy -4.216 eV/atom. Number 3: total energy -3.579 eV/atom. Number 4: total energy -4.232 eV/atom. Number 5: total energy -7.273 eV/atom. Number 6: total energy -5.518 eV/atom.